Record 1
First-principles (meta-GGA SCAN) data for a crystal of CoSb2Cl relaxed with PBEsol, as listed in the Alexandria database.

Calculated values
mass density = 6.80 Mg/m³
ΔE to the lowest computed polymorph = 149 meV/atom
total moment = 0.4175 μB/atom
crystal system = tetragonal
V = 20.62 Å³ per atom

a b c (Å): 3.0748 3.0748 8.7238
angles (deg): 90.00 90.00 90.00
Sites, in units of the cell vectors:
Sb (0.5000, 0.5000, 0.2449)
Sb (0.0000, 0.0000, 0.9262)
Cl (0.0000, 0.0000, 0.5807)
Co (0.5000, 0.5000, 0.7482)


Record 2
First-principles (meta-GGA SCAN) data for a crystal of Co2SbCl relaxed with PBEsol, as listed in the Alexandria database.

Calculated values
mass density = 7.26 Mg/m³
ΔE to the lowest computed polymorph = 180 meV/atom
total moment = 0.8230 μB/atom
crystal system = orthorhombic
V = 15.72 Å³ per atom

a b c (Å): 3.0176 3.3141 6.2877
angles (deg): 90.00 90.00 90.00
Sites, in units of the cell vectors:
Cl (0.5000, 0.5000, 0.5000)
Co (0.0000, 0.5000, 0.2022)
Sb (0.5000, 0.0000, 0.0000)
Co (0.0000, 0.5000, 0.7978)


Record 3
First-principles (meta-GGA SCAN) data for a crystal of CoSb2Cl relaxed with PBEsol, as listed in the Alexandria database.

Calculated values
mass density = 6.19 Mg/m³
ΔE to the lowest computed polymorph = 0 meV/atom
total moment = 0.0009 μB/atom
crystal system = tetragonal
V = 22.66 Å³ per atom

a b c (Å): 3.2057 3.2025 8.8282
angles (deg): 90.00 90.00 90.00
Sites, in units of the cell vectors:
Cl (0.0000, 0.0000, 0.5475)
Co (0.5000, 0.5000, 0.9273)
Sb (0.0000, 0.0000, 0.8163)
Sb (0.5000, 0.5000, 0.2089)


Record 4
First-principles (meta-GGA SCAN) data for a crystal of ScCo2Cl relaxed with PBEsol, as listed in the Alexandria database.

Calculated values
mass density = 5.47 Mg/m³
ΔE to the lowest computed polymorph = 370 meV/atom
total moment = 0.9370 μB/atom
crystal system = orthorhombic
V = 15.05 Å³ per atom

a b c (Å): 3.0355 4.7706 4.7933
angles (deg): 119.84 90.00 90.00
Sites, in units of the cell vectors:
Cl (0.5000, 0.5000, 0.0000)
Co (0.0000, 0.0000, 0.5000)
Co (0.0000, 0.5000, 0.5000)
Sc (0.5000, 0.0000, 0.0000)


Record 5
First-principles (meta-GGA SCAN) data for a crystal of ScCo2Cl relaxed with PBEsol, as listed in the Alexandria database.

Calculated values
mass density = 5.63 Mg/m³
ΔE to the lowest computed polymorph = 336 meV/atom
total moment = 0.8087 μB/atom
crystal system = tetragonal
V = 14.61 Å³ per atom

a b c (Å): 3.4242 3.4242 5.5417
angles (deg): 108.00 108.00 90.00
Sites, in units of the cell vectors:
Cl (0.0000, 0.0000, 0.0000)
Sc (0.5000, 0.5000, 0.0000)
Co (0.7500, 0.2500, 0.5000)
Co (0.2500, 0.7500, 0.5000)


Record 6
First-principles (meta-GGA SCAN) data for a crystal of ScCoCl2 relaxed with PBEsol, as listed in the Alexandria database.

Calculated values
mass density = 4.54 Mg/m³
ΔE to the lowest computed polymorph = 533 meV/atom
total moment = 0.4991 μB/atom
crystal system = cubic
V = 15.98 Å³ per atom

a b c (Å): 4.4877 4.4877 4.4877
angles (deg): 60.00 60.00 60.00
Sites, in units of the cell vectors:
Co (0.5000, 0.5000, 0.5000)
Cl (0.0000, 0.0000, 0.0000)
Sc (0.2500, 0.2500, 0.2500)
Cl (0.7500, 0.7500, 0.7500)